No. 1
{"formula": "Tl2CuC2O6", "functional": "GGA-PBEsol", "state": "optimized geometry", "lattice": [[7.472, 0.000, 0.000], [0.000, 9.764, 0.000], [-3.249, 0.000, 8.510]], "species": ["Tl", "Tl", "Tl", "Tl", "Tl", "Tl", "Tl", "Tl", "Cu", "Cu", "Cu", "Cu", "C", "C", "C", "C", "C", "C", "C", "C", "O", "O", "O", "O", "O", "O", "O", "O", "O", "O", "O", "O", "O", "O", "O", "O", "O", "O", "O", "O", "O", "O", "O", "O"], "fractional_positions": [[0.119, 0.202, 0.017], [0.119, 0.298, 0.517], [0.263, 0.610, 0.355], [0.263, 0.890, 0.855], [0.737, 0.110, 0.145], [0.737, 0.390, 0.645], [0.881, 0.702, 0.483], [0.881, 0.798, 0.983], [0.462, 0.109, 0.424], [0.462, 0.391, 0.924], [0.538, 0.609, 0.076], [0.538, 0.891, 0.576], [0.135, 0.549, 0.906], [0.135, 0.951, 0.406], [0.479, 0.116, 0.751], [0.479, 0.384, 0.251], [0.521, 0.616, 0.749], [0.521, 0.884, 0.249], [0.865, 0.049, 0.594], [0.865, 0.451, 0.094], [0.040, 0.087, 0.652], [0.040, 0.413, 0.152], [0.187, 0.068, 0.363], [0.187, 0.432, 0.863], [0.259, 0.629, 0.006], [0.259, 0.871, 0.506], [0.442, 0.171, 0.865], [0.442, 0.329, 0.365], [0.458, 0.187, 0.625], [0.458, 0.313, 0.125], [0.465, 0.011, 0.237], [0.465, 0.489, 0.737], [0.535, 0.511, 0.263], [0.535, 0.989, 0.763], [0.542, 0.687, 0.875], [0.542, 0.813, 0.375], [0.558, 0.671, 0.635], [0.558, 0.829, 0.135], [0.741, 0.129, 0.494], [0.741, 0.371, 0.994], [0.813, 0.568, 0.137], [0.813, 0.932, 0.637], [0.960, 0.587, 0.848], [0.960, 0.913, 0.348]], "dft_energy_ev_per_atom": -6.57, "sg": "No. 14", "total_magnetization_mub_per_fu": 1.02}

***

No. 2
{"formula": "InTePt2", "functional": "GGA-PBEsol", "state": "optimized geometry", "lattice": [[0.000, 3.357, 3.357], [3.357, 0.000, 3.357], [3.357, 3.357, 0.000]], "species": ["In", "Te", "Pt", "Pt"], "fractional_positions": [[0.000, 0.000, 0.000], [0.750, 0.750, 0.750], [0.250, 0.250, 0.250], [0.500, 0.500, 0.500]], "dft_energy_ev_per_atom": -4.90, "sg": "No. 216", "total_magnetization_mub_per_fu": 0.00}

***

No. 3
{"formula": "InOsF2", "functional": "GGA-PBEsol", "state": "optimized geometry", "lattice": [[1.373, 0.793, 8.416], [-1.373, 0.793, 8.416], [0.000, -1.585, 8.416]], "species": ["In", "Os", "F", "F"], "fractional_positions": [[0.000, 0.000, 0.000], [0.500, 0.500, 0.500], [0.087, 0.087, 0.087], [0.913, 0.913, 0.913]], "dft_energy_ev_per_atom": -5.02, "sg": "No. 166", "total_magnetization_mub_per_fu": 1.07}

***

No. 4
{"formula": "LaSiNi2", "functional": "GGA-PBEsol", "state": "optimized geometry", "lattice": [[1.986, 1.147, 5.078], [-1.986, 1.147, 5.078], [0.000, -2.293, 5.078]], "species": ["La", "Si", "Ni", "Ni"], "fractional_positions": [[0.000, 0.000, 0.000], [0.198, 0.198, 0.198], [0.500, 0.500, 0.500], [0.804, 0.804, 0.804]], "dft_energy_ev_per_atom": -6.43, "sg": "No. 160", "total_magnetization_mub_per_fu": 0.00}